## Ni3GePt6 (PBE-GGA)

Data for an optimized crystal structure of Ni3GePt6.

The space group is P2_1/c (No. 14) and the conventional cell measures 4.370, 7.329 and 9.643 Å, with angles of 90.00, 103.02 and 90.00 degrees. The inequivalent atoms are Ni at (0.000, 0.000, 0.000), Ni at (0.094, 0.221, 0.674), Ge at (0.500, 0.000, 0.500), Pt at (0.058, 0.642, 0.106), Pt at (0.373, 0.555, 0.740) and Pt at (0.464, 0.672, 0.451).

The density of states at the Fermi level comes out at 29.35 states/eV per cell. The calculation puts the formation energy at -0.035 eV/atom.

***

## HgAuBr2 (PBE-GGA)

Data for an optimized crystal structure of HgAuBr2.

The space group is Cm (No. 8) and the conventional cell measures 8.039, 3.820 and 8.990 Å, with angles of 90.00, 113.25 and 90.00 degrees. The inequivalent atoms are Hg at (0.000, 0.000, 0.000), Au at (0.284, 0.000, 0.795), Br at (0.068, 0.500, 0.621) and Br at (0.223, 0.500, 0.200).

The density of states at the Fermi level comes out at 2.36 states/eV per cell. Its formation energy from raw total energies is -120 meV per atom. The energy relative to the lowest polymorph listed for this composition is 0.02 kcal/mol of atoms.

***

## KCaRe (PBE-GGA)

Data for an optimized crystal structure of KCaRe.

The space group is P3m1 (No. 156) and the conventional cell measures 5.4756, 5.4756 and 2.7450 Å, with angles of 90.00, 90.00 and 120.00 degrees. The inequivalent atoms are K at (0.0000, 0.0000, 0.0000), Ca at (0.3333, 0.6667, 0.0025) and Re at (0.6667, 0.3333, 0.5016).

The density of states at the Fermi level comes out at 3.95 states/eV per cell. The energy relative to the lowest polymorph listed for this composition is 3.00 kcal/mol of atoms. The calculation puts the formation energy at 1.254 eV/atom.

***

## Hf2MgF (PBE-GGA)

Data for an optimized crystal structure of Hf2MgF.

The space group is Fm-3m (No. 225) and the conventional cell measures 6.750, 6.750 and 6.750 Å, with angles of 90.00, 90.00 and 90.00 degrees. The inequivalent atoms are Hf at (0.250, 0.250, 0.250), Mg at (0.000, 0.000, 0.000) and F at (0.000, 0.000, 0.500).

The density of states at the Fermi level comes out at 24.28 states/eV per cell. Its formation energy from raw total energies is 27 meV per atom. The energy relative to the lowest polymorph listed for this composition is 2.57 kcal/mol of atoms.

***

## Nd2Al5Ag (PBE-GGA)

Data for an optimized crystal structure of Nd2Al5Ag.

The space group is I4mm (No. 107) and the conventional cell measures 6.240, 6.240 and 8.727 Å, with angles of 90.00, 90.00 and 90.00 degrees. The inequivalent atoms are Nd at (0.000, 0.500, 0.000), Al at (0.000, 0.000, 0.001), Al at (0.249, 0.249, 0.750) and Ag at (0.000, 0.000, 0.496).

The density of states at the Fermi level comes out at 8.23 states/eV per cell. The calculation puts the formation energy at -0.310 eV/atom.

***

## AcHoTe3 (PBE-GGA)

Data for an optimized crystal structure of AcHoTe3.

The space group is Cmcm (No. 63) and the conventional cell measures 4.458, 14.346 and 11.044 Å, with angles of 90.00, 90.00 and 90.00 degrees. The inequivalent atoms are Ac at (0.000, 0.249, 0.250), Ho at (0.000, 0.500, 0.000), Te at (0.000, 0.143, 0.557) and Te at (0.000, 0.421, 0.750).

The density of states at the Fermi level comes out at 0.15 states/eV per cell. Its formation energy from raw total energies is -1509 meV per atom. The energy relative to the lowest polymorph listed for this composition is 0.00 kcal/mol of atoms.

***

## La2NdY5 (PBE-GGA)

Data for an optimized crystal structure of La2NdY5.

The space group is Pbam (No. 55) and the conventional cell measures 7.232, 20.462 and 7.275 Å, with angles of 90.00, 90.00 and 90.00 degrees. The inequivalent atoms are La at (0.000, 0.000, 0.249), La at (0.246, 0.374, 0.500), Nd at (0.246, 0.373, 0.000), Y at (0.000, 0.500, 0.249), Y at (0.004, 0.750, 0.249), Y at (0.247, 0.126, 0.500) and Y at (0.248, 0.126, 0.000).

The density of states at the Fermi level comes out at 42.44 states/eV per cell. The energy relative to the lowest polymorph listed for this composition is 0.00 kcal/mol of atoms. The calculation puts the formation energy at 0.013 eV/atom.

***

## TeAu2 (PBE-GGA)

Data for an optimized crystal structure of TeAu2.

The space group is P6_3/mmc (No. 194) and the conventional cell measures 5.0936, 5.0936 and 5.7941 Å, with angles of 90.00, 90.00 and 120.00 degrees. The inequivalent atoms are Te at (0.3333, 0.6667, 0.2500), Au at (0.0000, 0.0000, 0.0000) and Au at (0.3333, 0.6667, 0.7500).

The density of states at the Fermi level comes out at 4.12 states/eV per cell. Its formation energy from raw total energies is 235 meV per atom.

***

## AcLaPrAu (PBE-GGA)

Data for an optimized crystal structure of AcLaPrAu.

The space group is F-43m (No. 216) and the conventional cell measures 7.954, 7.954 and 7.954 Å, with angles of 90.00, 90.00 and 90.00 degrees. The inequivalent atoms are Ac at (0.000, 0.000, 0.000), La at (0.250, 0.250, 0.750), Pr at (0.250, 0.250, 0.250) and Au at (0.000, 0.000, 0.500).

The density of states at the Fermi level comes out at 30.20 states/eV per cell. The calculation puts the formation energy at -0.056 eV/atom.

***

## Re2WCl (PBE-GGA)

Data for an optimized crystal structure of Re2WCl.

The space group is R-3m (No. 166, hexagonal axes) and the conventional cell measures 2.8941, 2.8941 and 25.7451 Å, with angles of 90.00, 90.00 and 120.00 degrees. The inequivalent atoms are Re at (0.0000, 0.0000, 0.2502), W at (0.0000, 0.0000, 0.0000) and Cl at (0.0000, 0.0000, 0.5000).

The density of states at the Fermi level comes out at 2.95 states/eV per cell. Its formation energy from raw total energies is 453 meV per atom. The energy relative to the lowest polymorph listed for this composition is 0.00 kcal/mol of atoms.

***

## PuCuBO5 (PBE-GGA)

Data for an optimized crystal structure of PuCuBO5.

The space group is C2/c (No. 15) and the conventional cell measures 7.641, 7.870 and 7.833 Å, with angles of 90.00, 117.19 and 90.00 degrees. The inequivalent atoms are Pu at (0.250, 0.250, 0.000), Cu at (0.000, 0.088, 0.250), B at (0.000, 0.408, 0.250), O at (0.000, 0.145, 0.750), O at (0.074, 0.287, 0.151) and O at (0.162, 0.485, 0.887).

The density of states at the Fermi level comes out at 17.42 states/eV per cell. Its formation energy from raw total energies is -2013 meV per atom.

***

## YEr4Al5 (PBE-GGA)

Data for an optimized crystal structure of YEr4Al5.

The space group is P4/mmm (No. 123) and the conventional cell measures 3.561, 3.561 and 18.010 Å, with angles of 90.00, 90.00 and 90.00 degrees. The inequivalent atoms are Y at (0.000, 0.000, 0.000), Er at (0.000, 0.000, 0.202), Er at (0.000, 0.000, 0.401), Al at (0.500, 0.500, 0.103), Al at (0.500, 0.500, 0.301) and Al at (0.500, 0.500, 0.500).

The density of states at the Fermi level comes out at 5.27 states/eV per cell. The calculation puts the formation energy at -0.397 eV/atom.

***

> Number 8 is which compound?

TeAu2

***

> What is the formula in the eighth record?

TeAu2